(1)
A plane-wave DFT calculation with PBE was carried out for LiCaCl2 after structural relaxation.

Calculated values
V = 33.72 A^3/atom
E above lowest polymorph = 0.0000 eV/atom
DFT total energy = -0.1284 Ha/atom
DOS at the Fermi energy = 0.243 states/eV per atom
Energy relative to the elements, uncorrected = -6.4 eV/f.u.

Cell lengths 9.8315, 9.8315, 9.8315 Å; angles 23.70, 23.70, 23.70 degrees
With the nearest neighbours (Å) after each atom.
Element x y z (fractional)
Cl 0.8841 0.8841 0.8841  3 Ca 2.75
Cl 0.1159 0.1159 0.1159  3 Ca 2.75
Li 0.0000 0.0000 0.0000  2 Cl 3.32
Ca 0.5000 0.5000 0.5000  6 Cl 2.75

=====

(2)
A plane-wave DFT calculation with PBE was carried out for LiCaCl2 after structural relaxation.

Calculated values
V = 27.11 A^3/atom
E above lowest polymorph = 0.0231 eV/atom
DFT total energy = -0.1276 Ha/atom
DOS at the Fermi energy = 0.248 states/eV per atom
Energy relative to the elements, uncorrected = -6.3 eV/f.u.

Cell lengths 8.2656, 8.2656, 8.2656 Å; angles 27.80, 27.80, 27.80 degrees
With the nearest neighbours (Å) after each atom.
Element x y z (fractional)
Li 0.5000 0.5000 0.5000  6 Cl 2.66
Ca 0.0000 0.0000 0.0000  2 Cl 2.61
Cl 0.8903 0.8903 0.8903  1 Ca 2.61, 3 Li 2.66
Cl 0.1097 0.1097 0.1097  1 Ca 2.61, 3 Li 2.66

=====

(3)
A plane-wave DFT calculation with PBE was carried out for LiCaCl3 after structural relaxation.

Calculated values
V = 21.22 A^3/atom
E above lowest polymorph = 0.2787 eV/atom
DFT total energy = -0.1375 Ha/atom
DOS at the Fermi energy = 0.000 states/eV per atom
Energy relative to the elements, uncorrected = -9.3 eV/f.u.

Cell lengths 4.7338, 4.7338, 4.7338 Å; angles 90.00, 90.00, 90.00 degrees
With the nearest neighbours (Å) after each atom.
Element x y z (fractional)
Cl 0.0000 0.5000 0.0000  2 Li 2.37
Cl 0.0000 0.0000 0.5000  2 Li 2.37
Li 0.0000 0.0000 0.0000  6 Cl 2.37
Cl 0.5000 0.0000 0.0000  2 Li 2.37
Ca 0.5000 0.5000 0.5000  12 Cl 3.35

=====

(4)
A plane-wave DFT calculation with PBE was carried out for Li5Ca3Cl12 after structural relaxation.

Calculated values
V = 22.78 A^3/atom
DFT total energy = -0.1391 Ha/atom
DOS at the Fermi energy = 1.387 states/eV per atom
Energy relative to the elements, uncorrected = -38.0 eV/f.u.

Cell lengths 13.3285, 13.3285, 13.3285 Å; angles 109.47, 109.47, 109.47 degrees
With the nearest neighbours (Å) after each atom.
Element x y z (fractional)
Cl 0.1265 0.7160 0.5359  2 Li 2.33-2.58
Cl 0.4105 0.2840 0.3199  2 Li 2.33-2.58
Ca 0.6250 0.3750 0.7500  8 Cl 2.93-2.94
Cl 0.9105 0.8199 0.7840  2 Li 2.33-2.58
Li 0.6250 0.8750 0.2500  4 Cl 2.33
Cl 0.0906 0.1801 0.4641  2 Li 2.33-2.58
Cl 0.3735 0.9641 0.7840  2 Li 2.33-2.58
Cl 0.1801 0.0906 0.9641  2 Li 2.33-2.58
Cl 0.2840 0.4105 0.8199  2 Li 2.33-2.58
Cl 0.5359 0.2160 0.1265  2 Li 2.33-2.58
Cl 0.6265 0.5906 0.9105  2 Li 2.33-2.58
Cl 0.4641 0.7840 0.8735  2 Li 2.33-2.58
Cl 0.7160 0.1265 0.0359  2 Li 2.33-2.58
Cl 0.6265 0.0359 0.2160  2 Li 2.33-2.58
Cl 0.3735 0.4094 0.0895  2 Li 2.33-2.58
Li 0.2500 0.3750 0.6250  4 Cl 2.33
Cl 0.6801 0.2160 0.5895  2 Li 2.33-2.58
Cl 0.7160 0.5895 0.1801  2 Li 2.33-2.58
Cl 0.9094 0.0895 0.8735  2 Li 2.33-2.58
Cl 0.0359 0.4094 0.8199  2 Li 2.33-2.58
Cl 0.1265 0.4105 0.0906  2 Li 2.33-2.58
Ca 0.6250 0.2500 0.3750  8 Cl 2.93-2.94
Cl 0.2160 0.5359 0.6265  2 Li 2.33-2.58
Ca 0.2500 0.1250 0.3750  8 Cl 2.93-2.94
Cl 0.0895 0.9094 0.3735  2 Li 2.33-2.58
Cl 0.3199 0.7840 0.4105  2 Li 2.33-2.58
Cl 0.7840 0.4641 0.3735  2 Li 2.33-2.58
Li 0.5000 0.0000 0.5000  6 Cl 2.58
Cl 0.5895 0.8735 0.4094  2 Li 2.33-2.58
Li 0.2500 0.8750 0.1250  4 Cl 2.33
Ca 0.1250 0.2500 0.8750  8 Cl 2.93-2.94
Li 0.0000 0.0000 0.0000  6 Cl 2.58
Cl 0.7840 0.3199 0.9105  2 Li 2.33-2.58
Ca 0.2500 0.6250 0.8750  8 Cl 2.93-2.94
Li 0.5000 0.5000 0.5000  6 Cl 2.58
Cl 0.5359 0.3199 0.9094  2 Li 2.33-2.58
Cl 0.0359 0.6265 0.7160  2 Li 2.33-2.58
Li 0.6250 0.7500 0.8750  4 Cl 2.33
Cl 0.4641 0.6801 0.0906  2 Li 2.33-2.58
Li 0.8750 0.6250 0.7500  4 Cl 2.33
Li 0.1250 0.3750 0.2500  4 Cl 2.33
Li 0.7500 0.1250 0.8750  4 Cl 2.33
Cl 0.9641 0.3735 0.2840  2 Li 2.33-2.58
Cl 0.0895 0.1801 0.2160  2 Li 2.33-2.58
Li 0.5000 0.5000 0.0000  6 Cl 2.58
Cl 0.3199 0.5359 0.4094  2 Li 2.33-2.58
Cl 0.2160 0.6801 0.0895  2 Li 2.33-2.58
Cl 0.8735 0.2840 0.4641  2 Li 2.33-2.58
Cl 0.5895 0.7160 0.6801  2 Li 2.33-2.58
Li 0.7500 0.6250 0.3750  4 Cl 2.33
Ca 0.8750 0.1250 0.2500  8 Cl 2.93-2.94
Cl 0.0906 0.9105 0.1265  2 Li 2.33-2.58
Li 0.0000 0.5000 0.5000  6 Cl 2.58
Li 0.3750 0.2500 0.1250  4 Cl 2.33
Ca 0.7500 0.8750 0.6250  8 Cl 2.93-2.94
Cl 0.4094 0.3735 0.5895  2 Li 2.33-2.58
Li 0.1250 0.7500 0.3750  4 Cl 2.33
Li 0.3750 0.1250 0.7500  4 Cl 2.33
Cl 0.5906 0.9641 0.6801  2 Li 2.33-2.58
Cl 0.1801 0.0895 0.7160  2 Li 2.33-2.58
Cl 0.9641 0.5906 0.1801  2 Li 2.33-2.58
Ca 0.8750 0.7500 0.1250  8 Cl 2.93-2.94
Cl 0.8199 0.9105 0.2840  2 Li 2.33-2.58
Ca 0.1250 0.8750 0.7500  8 Cl 2.93-2.94
Ca 0.3750 0.6250 0.2500  8 Cl 2.93-2.94
Li 0.0000 0.5000 0.0000  6 Cl 2.58
Cl 0.6801 0.4641 0.5906  2 Li 2.33-2.58
Cl 0.9105 0.0906 0.6265  2 Li 2.33-2.58
Li 0.0000 0.0000 0.5000  6 Cl 2.58
Cl 0.4105 0.1265 0.5906  2 Li 2.33-2.58
Ca 0.3750 0.7500 0.6250  8 Cl 2.93-2.94
Cl 0.8735 0.5895 0.9094  2 Li 2.33-2.58
Cl 0.9094 0.8199 0.5359  2 Li 2.33-2.58
Ca 0.7500 0.3750 0.1250  8 Cl 2.93-2.94
Li 0.5000 0.0000 0.0000  6 Cl 2.58
Li 0.8750 0.2500 0.6250  4 Cl 2.33
Cl 0.2840 0.8735 0.9641  2 Li 2.33-2.58
Cl 0.5906 0.6265 0.4105  2 Li 2.33-2.58
Cl 0.4094 0.0359 0.3199  2 Li 2.33-2.58
Cl 0.8199 0.9094 0.0359  2 Li 2.33-2.58

=====

(5)
A plane-wave DFT calculation with PBE was carried out for LiCaCl2 after structural relaxation.

Calculated values
V = 27.65 A^3/atom
E above lowest polymorph = 0.0397 eV/atom
DFT total energy = -0.1270 Ha/atom
DOS at the Fermi energy = 0.294 states/eV per atom
Energy relative to the elements, uncorrected = -6.2 eV/f.u.

Cell lengths 3.6005, 4.1693, 7.7462 Å; angles 107.96, 90.00, 90.00 degrees
With the nearest neighbours (Å) after each atom.
Element x y z (fractional)
Li 0.5000 0.2500 0.2500  4 Cl 2.50
Cl 0.0000 0.5754 0.4543  2 Li 2.50
Cl 0.0000 0.9246 0.0457  2 Li 2.50
Ca 0.5000 0.7500 0.7500  4 Cl 2.83

=====

(6)
A plane-wave DFT calculation with PBE was carried out for Li2CaCl after structural relaxation.

Calculated values
V = 26.46 A^3/atom
E above lowest polymorph = 0.0725 eV/atom
DFT total energy = -0.0961 Ha/atom
DOS at the Fermi energy = 0.345 states/eV per atom
Energy relative to the elements, uncorrected = -2.8 eV/f.u.

Cell lengths 3.6533, 3.6533, 8.9722 Å; angles 90.00, 90.00, 117.88 degrees
With the nearest neighbours (Å) after each atom.
Element x y z (fractional)
Cl 0.5000 0.5000 0.7755  2 Li 2.50
Li 0.0000 0.0000 0.9588  2 Cl 2.50
Ca 0.0000 0.0000 0.5322  2 Cl 2.88
Li 0.5000 0.5000 0.2335  2 Li 3.10, 2 Ca 3.28

=====

(7)
A plane-wave DFT calculation with PBE was carried out for LiCaCl2 after structural relaxation.

Calculated values
V = 27.30 A^3/atom
E above lowest polymorph = 0.0566 eV/atom
DFT total energy = -0.1263 Ha/atom
DOS at the Fermi energy = 0.242 states/eV per atom
Energy relative to the elements, uncorrected = -6.1 eV/f.u.

Cell lengths 7.3243, 7.3243, 4.6162 Å; angles 69.67, 69.67, 28.18 degrees
With the nearest neighbours (Å) after each atom.
Element x y z (fractional)
Cl 0.7337 0.7337 0.6893  1 Li 2.49
Ca 0.2707 0.2707 0.1340  6 Cl 2.87-3.01
Cl 0.9403 0.9403 0.9609  2 Li 2.41
Li 0.5554 0.5554 0.7157  3 Cl 2.41-2.49

=====

(8)
A plane-wave DFT calculation with PBE was carried out for LiCaCl2 after structural relaxation.

Calculated values
V = 21.83 A^3/atom
E above lowest polymorph = 0.0054 eV/atom
DFT total energy = -0.1282 Ha/atom
DOS at the Fermi energy = 0.153 states/eV per atom
Energy relative to the elements, uncorrected = -6.3 eV/f.u.

Cell lengths 3.7076, 3.7076, 7.6015 Å; angles 76.52, 76.52, 60.18 degrees
With the nearest neighbours (Å) after each atom.
Element x y z (fractional)
Cl 0.4808 0.4808 0.5492  3 Li 2.60
Li 0.7500 0.7500 0.7500  6 Cl 2.60
Cl 0.0192 0.0192 0.9508  3 Li 2.60
Ca 0.2500 0.2500 0.2500  6 Cl 3.03-3.08

=====

(9)
A plane-wave DFT calculation with PBE was carried out for LiCa2Cl after structural relaxation.

Calculated values
V = 32.00 A^3/atom
E above lowest polymorph = 0.0000 eV/atom
DFT total energy = -0.0990 Ha/atom
DOS at the Fermi energy = 0.595 states/eV per atom
Energy relative to the elements, uncorrected = -3.0 eV/f.u.

Cell lengths 3.7077, 4.1055, 8.4082 Å; angles 89.72, 90.00, 90.00 degrees
With the nearest neighbours (Å) after each atom.
Element x y z (fractional)
Ca 0.0000 0.2524 0.5151  2 Cl 2.90
Cl 0.5000 0.2500 0.2500  4 Ca 2.90
Ca 0.0000 0.2476 0.9849  2 Cl 2.90
Li 0.5000 0.7500 0.7500  8 Ca 3.40, 2 Li 3.71

=====

(10)
A plane-wave DFT calculation with PBE was carried out for Li2CaCl after structural relaxation.

Calculated values
V = 28.38 A^3/atom
E above lowest polymorph = 0.6191 eV/atom
DFT total energy = -0.0760 Ha/atom
DOS at the Fermi energy = 0.493 states/eV per atom
Energy relative to the elements, uncorrected = -0.6 eV/f.u.

Cell lengths 5.4349, 5.4349, 5.4349 Å; angles 60.00, 60.00, 60.00 degrees
With the nearest neighbours (Å) after each atom.
Element x y z (fractional)
Li 0.7500 0.7500 0.7500  4 Ca 3.33, 4 Cl 3.33
Ca 0.5000 0.5000 0.5000  8 Li 3.33
Cl 0.0000 0.0000 0.0000  8 Li 3.33
Li 0.2500 0.2500 0.2500  4 Ca 3.33, 4 Cl 3.33

=====

(11)
A plane-wave DFT calculation with PBE was carried out for LiCa2Cl after structural relaxation.

Calculated values
V = 29.92 A^3/atom
E above lowest polymorph = 0.3106 eV/atom
DFT total energy = -0.0876 Ha/atom
DOS at the Fermi energy = 0.333 states/eV per atom
Energy relative to the elements, uncorrected = -1.8 eV/f.u.

Cell lengths 6.0014, 6.0014, 6.0014 Å; angles 131.22, 131.22, 71.47 degrees
With the nearest neighbours (Å) after each atom.
Element x y z (fractional)
Cl 0.2500 0.7500 0.5000  8 Ca 3.47, 4 Li 3.50
Li 0.7500 0.2500 0.5000  8 Ca 3.47, 4 Cl 3.50
Ca 0.0000 0.0000 0.0000  4 Li 3.47, 4 Cl 3.47, 4 Ca 3.50
Ca 0.5000 0.5000 0.0000  4 Li 3.47, 4 Cl 3.47, 4 Ca 3.50

=====

(12)
A plane-wave DFT calculation with PBE was carried out for LiCaCl2 after structural relaxation.

Calculated values
V = 23.34 A^3/atom
E above lowest polymorph = 0.0376 eV/atom
DFT total energy = -0.1270 Ha/atom
DOS at the Fermi energy = 0.336 states/eV per atom
Energy relative to the elements, uncorrected = -6.2 eV/f.u.

Cell lengths 3.6284, 3.6284, 7.0925 Å; angles 90.00, 90.00, 90.00 degrees
With the nearest neighbours (Å) after each atom.
Element x y z (fractional)
Ca 0.5000 0.5000 0.7774  5 Cl 2.81-2.96
Cl 0.0000 0.0000 0.9869  1 Li 2.61
Li 0.0000 0.0000 0.3543  5 Cl 2.57-2.61
Cl 0.5000 0.5000 0.3814  4 Li 2.57, 1 Ca 2.81